No. 1
{
  "formula": "Na2VSn2",
  "functional": "PBE",
  "state": "optimized geometry",
  "lattice_angstrom": [[-3.179, 3.895, 2.270], [-3.142, -3.906, 2.302], [-0.728, 0.019, 5.649]],
  "species": ["Sn", "Na", "V", "Sn", "Na"],
  "fractional_positions": [[0.750, 0.250, 0.500], [0.357, 0.357, 0.285], [0.000, 0.000, 0.000], [0.250, 0.750, 0.500], [0.643, 0.643, 0.715]],
  "e_above_lowest_polymorph_mev_per_atom": 164,
  "formation_enthalpy_0k_ev_per_atom": 0.61,
  "magnetic_moment_mub_per_atom": 0.73
}

---

No. 2
{
  "formula": "NaSnW2",
  "functional": "PBE",
  "state": "optimized geometry",
  "lattice_angstrom": [[8.068, 0.000, 0.000], [0.000, 8.068, 0.000], [4.034, 4.034, 2.590]],
  "species": ["W", "Sn", "Na", "Sn", "W", "W", "Na", "W"],
  "fractional_positions": [[0.375, 0.334, 0.750], [0.750, 0.250, 0.500], [0.250, 0.750, 0.500], [0.000, 0.000, 0.000], [0.875, 0.916, 0.750], [0.666, 0.125, 0.250], [0.500, 0.500, 0.000], [0.084, 0.625, 0.250]],
  "formation_enthalpy_0k_ev_per_atom": 1.48,
  "magnetic_moment_mub_per_atom": 0.00
}

---

No. 3
{
  "formula": "Na3SnW",
  "functional": "PBE",
  "state": "optimized geometry",
  "lattice_angstrom": [[-0.142, -5.459, -1.815], [0.624, -1.820, 5.424], [-5.719, -0.063, 0.637]],
  "species": ["Na", "W", "Na", "Sn", "Na"],
  "fractional_positions": [[0.000, 0.000, 0.500], [0.500, 0.500, 0.500], [0.500, 0.000, 0.000], [0.000, 0.000, 0.000], [0.000, 0.500, 0.000]],
  "e_above_lowest_polymorph_mev_per_atom": 0,
  "formation_enthalpy_0k_ev_per_atom": 1.47,
  "magnetic_moment_mub_per_atom": 0.87
}

---

No. 4
{
  "formula": "Na3SnW",
  "functional": "PBE",
  "state": "optimized geometry",
  "lattice_angstrom": [[5.734, 0.000, 0.000], [0.000, 5.734, 0.000], [0.000, 0.000, 5.734]],
  "species": ["Na", "W", "Na", "Sn", "Na"],
  "fractional_positions": [[0.000, 0.500, 0.000], [0.000, 0.000, 0.000], [0.000, 0.000, 0.500], [0.500, 0.500, 0.500], [0.500, 0.000, 0.000]],
  "e_above_lowest_polymorph_mev_per_atom": 60,
  "formation_enthalpy_0k_ev_per_atom": 1.53,
  "magnetic_moment_mub_per_atom": 0.85
}

---

No. 5
{
  "formula": "Na2SnW",
  "functional": "PBE",
  "state": "optimized geometry",
  "lattice_angstrom": [[-2.998, 3.908, -7.081], [4.313, -5.616, -4.925], [-1.535, -2.537, -6.004]],
  "species": ["Sn", "Na", "Sn", "W", "W", "Na", "Na", "Na"],
  "fractional_positions": [[0.250, 0.750, 0.500], [0.375, 0.376, 0.750], [0.500, 0.500, 0.000], [0.000, 0.000, 0.000], [0.750, 0.250, 0.500], [0.875, 0.874, 0.750], [0.126, 0.625, 0.250], [0.624, 0.125, 0.250]],
  "formation_enthalpy_0k_ev_per_atom": 1.13,
  "magnetic_moment_mub_per_atom": 0.71
}

---

No. 6
{
  "formula": "NaSn2W",
  "functional": "PBE",
  "state": "optimized geometry",
  "lattice_angstrom": [[0.000, 3.471, 3.471], [3.471, 0.000, 3.471], [3.471, 3.471, 0.000]],
  "species": ["W", "Na", "Sn", "Sn"],
  "fractional_positions": [[0.500, 0.500, 0.500], [0.000, 0.000, 0.000], [0.750, 0.750, 0.750], [0.250, 0.250, 0.250]],
  "e_above_lowest_polymorph_mev_per_atom": 0,
  "formation_enthalpy_0k_ev_per_atom": 0.57,
  "magnetic_moment_mub_per_atom": 0.44
}

---

No. 7
{
  "formula": "NaSn2W",
  "functional": "PBE",
  "state": "optimized geometry",
  "lattice_angstrom": [[-1.546, -0.128, 5.649], [5.407, -1.736, 1.440], [4.306, 7.160, 4.378]],
  "species": ["W", "Sn", "W", "Sn", "Sn", "Na", "Na", "Sn"],
  "fractional_positions": [[0.750, 0.250, 0.500], [0.875, 0.031, 0.750], [0.000, 0.000, 0.000], [0.969, 0.625, 0.250], [0.781, 0.125, 0.250], [0.250, 0.750, 0.500], [0.500, 0.500, 0.000], [0.375, 0.219, 0.750]],
  "e_above_lowest_polymorph_mev_per_atom": 309,
  "formation_enthalpy_0k_ev_per_atom": 0.88,
  "magnetic_moment_mub_per_atom": 0.25
}

---

No. 8
{
  "formula": "NaYSnW2",
  "functional": "PBE",
  "state": "optimized geometry",
  "lattice_angstrom": [[-1.871, -4.176, 2.047], [3.663, -2.712, -2.186], [2.904, 0.674, 4.030]],
  "species": ["W", "Na", "Y", "Sn", "W"],
  "fractional_positions": [[0.000, 0.000, 0.500], [0.000, 0.500, 0.000], [0.000, 0.000, 0.000], [0.500, 0.500, 0.500], [0.500, 0.000, 0.000]],
  "formation_enthalpy_0k_ev_per_atom": 2.28,
  "magnetic_moment_mub_per_atom": 0.16
}

---

no.,uncorrected energy (eV for the cell shown)
1,-16.73
2,-50.61
3,-13.55
4,-13.25
5,-30.12
6,-20.00
7,-37.52
8,-26.31